No. 1
DFT (PBE-GGA) results for Ac6Ir2SBr2 after structural relaxation.

a b c (Å): 7.643 7.643 8.069
angles (deg): 98.94 98.94 117.99
Element x y z (fractional)
Ac  0.089  0.429  0.794
Ac  0.203  0.203  0.214
Ac  0.429  0.089  0.794
Ac  0.571  0.911  0.206
Ac  0.797  0.797  0.786
Ac  0.911  0.571  0.206
Ir  0.170  0.830  0.000
Ir  0.830  0.170  0.000
S  0.500  0.500  0.000
Br  0.338  0.662  0.500
Br  0.662  0.338  0.500

Properties
Energy relative to the elements, uncorrected: -1.15 eV per atom
Total energy: -62.505 eV for the cell shown
Symmetry: No. 12

***

No. 2
DFT (PBE-GGA) results for Ac4IrSBr2 after structural relaxation.

a b c (Å): 7.839 4.288 8.408
angles (deg): 90.00 107.65 90.00
Element x y z (fractional)
Ac  0.216  0.000  0.199
Ac  0.261  0.500  0.796
Ac  0.739  0.500  0.204
Ac  0.784  0.000  0.801
Ir  0.000  0.500  0.000
S  0.500  0.000  0.000
Br  0.000  0.000  0.500
Br  0.500  0.500  0.500

Properties
Energy relative to the elements, uncorrected: -1.35 eV per atom
Total energy: -43.564 eV for the cell shown
Symmetry: No. 10

***

No. 3
DFT (PBE-GGA) results for Ac4SbIrBr2 after structural relaxation.

a b c (Å): 8.290 4.438 8.387
angles (deg): 90.00 107.11 90.00
Element x y z (fractional)
Ac  0.198  0.000  0.203
Ac  0.216  0.500  0.767
Ac  0.784  0.500  0.233
Ac  0.802  0.000  0.797
Sb  0.000  0.000  0.500
Ir  0.000  0.500  0.000
Br  0.500  0.000  0.000
Br  0.500  0.500  0.500

Properties
Energy relative to the elements, uncorrected: -1.17 eV per atom
Total energy: -42.100 eV for the cell shown
Symmetry: No. 10

***

Among the records above, which one has the highest energy relative to the elements, uncorrected? Ac6Ir2SBr2